DFT (SCAN) results for Sr3SiSe at its PBEsol-relaxed geometry.

Properties
Spin magnetization   0.00 μB/cell
Raw formation energy   -0.712 eV/atom
Space-group type   Pm-3m, No. 221

Unit cell a=5.6896 b=5.6896 c=5.6896 alpha=90.00 beta=90.00 gamma=90.00
Positions (direct):
Sr1 0.0000 0.0000 0.5000
Sr2 0.0000 0.5000 0.0000
Sr3 0.5000 0.0000 0.0000
Si1 0.5000 0.5000 0.5000
Se1 0.0000 0.0000 0.0000

DFT (SCAN) results for Ir2RuSe at its PBEsol-relaxed geometry.

Properties
Spin magnetization   2.31 μB/cell
Raw formation energy   0.633 eV/atom
Space-group type   F-43m, No. 216

Unit cell a=4.3684 b=4.3684 c=4.3684 alpha=60.00 beta=60.00 gamma=60.00
Positions (direct):
Ir1 0.0000 0.0000 0.0000
Ir2 0.2500 0.2500 0.2500
Ru1 0.7500 0.7500 0.7500
Se1 0.5000 0.5000 0.5000

DFT (SCAN) results for ReSb2Os at its PBEsol-relaxed geometry.

Properties
Spin magnetization   0.00 μB/cell
Raw formation energy   0.426 eV/atom
Space-group type   Pm, No. 6

Unit cell a=2.8941 b=3.7092 c=7.6325 alpha=90.00 beta=90.16 gamma=90.00
Positions (direct):
Re1 0.0000 0.0000 0.0000
Sb1 0.4920 0.0000 0.5934
Sb2 0.5018 0.5000 0.2302
Os1 0.4985 0.5000 0.8529

DFT (SCAN) results for CaCuN2O at its PBEsol-relaxed geometry.

Properties
Spin magnetization   2.87 μB/cell
Raw formation energy   0.022 eV/atom
Space-group type   P4/mmm, No. 123

Unit cell a=3.7048 b=3.7048 c=4.0648 alpha=90.00 beta=90.00 gamma=90.00
Positions (direct):
Ca1 0.0000 0.0000 0.0000
Cu1 0.5000 0.5000 0.5000
N1 0.0000 0.5000 0.5000
N2 0.5000 0.0000 0.5000
O1 0.5000 0.5000 0.0000

DFT (SCAN) results for BeAu3 at its PBEsol-relaxed geometry.

Properties
Spin magnetization   0.00 μB/cell
Space-group type   P-6m2, No. 187
Uncorrected energy   -53.12 eV per atom

Unit cell a=2.9003 b=2.9003 c=8.2720 alpha=90.00 beta=90.00 gamma=120.00
Positions (direct):
Be1 0.0000 0.0000 0.0000
Au1 0.0000 0.0000 0.5000
Au2 0.6667 0.3333 0.2068
Au3 0.6667 0.3333 0.7932

DFT (SCAN) results for SrLi at its PBEsol-relaxed geometry.

Properties
Spin magnetization   0.06 μB/cell
Space-group type   R-3m, No. 166
ΔE to the lowest computed polymorph   10.9 kJ/mol of formula units

Unit cell a=8.7679 b=8.7679 c=8.7679 alpha=30.53 beta=30.53 gamma=30.53
Positions (direct):
Sr1 0.0982 0.0982 0.0982
Sr2 0.9018 0.9018 0.9018
Li1 0.3340 0.3340 0.3340
Li2 0.6660 0.6660 0.6660

DFT (SCAN) results for ZrSc2Tc at its PBEsol-relaxed geometry.

Properties
Spin magnetization   1.15 μB/cell
Space-group type   P4mm, No. 99
ΔE to the lowest computed polymorph   3.8 kJ/mol of formula units

Unit cell a=3.2839 b=3.2839 c=7.4533 alpha=90.00 beta=90.00 gamma=90.00
Positions (direct):
Zr1 0.0000 0.0000 0.0000
Sc1 0.0000 0.0000 0.5936
Sc2 0.5000 0.5000 0.2751
Tc1 0.5000 0.5000 0.8019

DFT (SCAN) results for Mg2ZrPb at its PBEsol-relaxed geometry.

Properties
Spin magnetization   0.00 μB/cell
Space-group type   Pmm2, No. 25
Uncorrected energy   -29.24 eV per atom

Unit cell a=3.3011 b=4.2603 c=6.4059 alpha=90.00 beta=90.00 gamma=90.00
Positions (direct):
Mg1 0.0000 0.0000 0.0000
Mg2 0.5000 0.5000 0.2347
Zr1 0.5000 0.5000 0.7467
Pb1 0.0000 0.0000 0.5054

DFT (SCAN) results for K2Hg3 at its PBEsol-relaxed geometry.

Properties
Spin magnetization   0.00 μB/cell
Space-group type   R-3m, No. 166
Uncorrected energy   -44.53 eV per atom

Unit cell a=6.4413 b=6.4413 c=6.4413 alpha=51.11 beta=51.11 gamma=51.11
Positions (direct):
K1 0.1023 0.1023 0.1023
K2 0.8977 0.8977 0.8977
Hg1 0.3240 0.3240 0.3240
Hg2 0.5000 0.5000 0.5000
Hg3 0.6760 0.6760 0.6760

DFT (SCAN) results for Ru4PtSe at its PBEsol-relaxed geometry.

Properties
Spin magnetization   4.73 μB/cell
Raw formation energy   0.837 eV/atom
Space-group type   F-43m, No. 216

Unit cell a=5.0447 b=5.0447 c=5.0447 alpha=60.00 beta=60.00 gamma=60.00
Positions (direct):
Ru1 0.3755 0.3755 0.3755
Ru2 0.3755 0.3755 0.8734
Ru3 0.3755 0.8734 0.3755
Ru4 0.8734 0.3755 0.3755
Pt1 0.7500 0.7500 0.7500
Se1 0.0000 0.0000 0.0000

DFT (SCAN) results for SbPt2Cl at its PBEsol-relaxed geometry.

Properties
Spin magnetization   0.00 μB/cell
Raw formation energy   0.420 eV/atom
Space-group type   P4/mmm, No. 123
ΔE to the lowest computed polymorph   104.0 kJ/mol of formula units

Unit cell a=4.2262 b=4.2262 c=3.9180 alpha=90.00 beta=90.00 gamma=90.00
Positions (direct):
Sb1 0.0000 0.0000 0.0000
Pt1 0.0000 0.5000 0.5000
Pt2 0.5000 0.0000 0.5000
Cl1 0.5000 0.5000 0.0000

DFT (SCAN) results for YTlIn2 at its PBEsol-relaxed geometry.

Properties
Spin magnetization   0.00 μB/cell
Space-group type   P4/mmm, No. 123
Uncorrected energy   -42.22 eV per atom

Unit cell a=4.5817 b=4.5817 c=4.6133 alpha=90.00 beta=90.00 gamma=90.00
Positions (direct):
Y1 0.0000 0.0000 0.0000
Tl1 0.5000 0.5000 0.0000
In1 0.0000 0.5000 0.5000
In2 0.5000 0.0000 0.5000